First-principles (PBE-GGA) data for a geometry-optimized Hf2Ag2Te structure, as listed in the Alexandria database.

```
Hf2Ag2Te
1.0
7.7138 0.0000 0.0000
0.0000 7.7138 0.0000
0.0000 0.0000 3.6327
Ag Te Hf
4 2 4
Direct
0.1275 0.3725 0.0000
0.3725 0.8725 0.0000
0.8725 0.6275 0.0000
0.6275 0.1275 0.0000
0.5000 0.5000 0.0000
0.0000 0.0000 0.0000
0.6661 0.8339 0.5000
0.1661 0.6661 0.5000
0.8339 0.3339 0.5000
0.3339 0.1661 0.5000
```

Results
Offset from the most stable computed form ... 0.804 eV per formula unit
E_form (uncorrected) ... 0.167 eV per atom
V ... 21.62 A^3/atom
SG ... No. 127



First-principles (PBE-GGA) data for a geometry-optimized AcTl2Hg structure, as listed in the Alexandria database.

```
AcTl2Hg
1.0
-3.3497 0.6177 2.2555
-1.0571 -3.9146 -0.4979
3.8034 -1.8084 6.1437
Tl Hg Ac
2 1 1
Direct
0.0000 0.0000 0.7825
0.0000 0.0000 0.2175
0.5000 0.5000 0.0000
0.5000 0.5000 0.5000
```

Results
Offset from the most stable computed form ... 0.728 eV per formula unit
ΔE_f ... -163 meV per atom
V ... 31.08 A^3/atom
SG ... No. 123



First-principles (PBE-GGA) data for a geometry-optimized Tl12Ga3Hg5 structure, as listed in the Alexandria database.

```
Tl12Ga3Hg5
1.0
-10.4814 -3.7948 10.4778
13.5320 -5.9538 3.9346
1.1609 15.2351 -0.7667
Tl Hg Ga
48 20 12
Direct
0.0659 0.6316 0.7336
0.2336 0.5659 0.6316
0.3980 0.1316 0.5657
0.1316 0.3980 0.0657
0.0659 0.4343 0.8323
0.5657 0.6316 0.3980
0.9343 0.8323 0.5659
0.5657 0.9341 0.6677
0.5659 0.2336 0.1316
0.1316 0.7336 0.5659
0.4343 0.0659 0.3323
0.8323 0.8980 0.2664
0.9341 0.3684 0.2664
0.2336 0.6677 0.1020
0.1020 0.9343 0.3684
0.6020 0.7336 0.6677
0.7336 0.1316 0.0659
0.5659 0.3323 0.9343
0.3323 0.7664 0.3980
0.8323 0.9343 0.0659
0.7664 0.3323 0.8980
0.3980 0.2664 0.3323
0.2664 0.8684 0.9341
0.3684 0.4343 0.1020
0.0657 0.8980 0.1316
0.0657 0.1677 0.4341
0.9343 0.1020 0.8684
0.8684 0.2664 0.4341
0.8684 0.6020 0.9343
0.6677 0.2336 0.6020
0.9341 0.5657 0.1677
0.8980 0.0657 0.6316
0.3684 0.9341 0.7664
0.6020 0.8684 0.4343
0.2664 0.3980 0.8323
0.3323 0.5659 0.4343
0.7336 0.6020 0.1677
0.1677 0.1020 0.7336
0.4341 0.6677 0.0657
0.8980 0.8323 0.7664
0.6316 0.5657 0.8980
0.1677 0.0657 0.9341
0.4343 0.3684 0.6020
0.4341 0.7664 0.8684
0.1020 0.1677 0.2336
0.7664 0.4341 0.3684
0.6677 0.4341 0.5657
0.6316 0.0659 0.2336
0.5000 0.0000 0.5000
0.2500 0.8750 0.1250
0.6250 0.8750 0.2500
0.3750 0.2500 0.1250
0.1250 0.3750 0.2500
0.0000 0.0000 0.5000
0.5000 0.5000 0.0000
0.8750 0.6250 0.7500
0.0000 0.5000 0.5000
0.7500 0.6250 0.3750
0.3750 0.1250 0.7500
0.0000 0.0000 0.0000
0.8750 0.2500 0.6250
0.6250 0.7500 0.8750
0.1250 0.7500 0.3750
0.5000 0.0000 0.0000
0.2500 0.3750 0.6250
0.5000 0.5000 0.5000
0.7500 0.1250 0.8750
0.0000 0.5000 0.0000
0.8750 0.1250 0.2500
0.8750 0.7500 0.1250
0.3750 0.7500 0.6250
0.6250 0.2500 0.3750
0.1250 0.2500 0.8750
0.7500 0.3750 0.1250
0.2500 0.1250 0.3750
0.6250 0.3750 0.7500
0.3750 0.6250 0.2500
0.7500 0.8750 0.6250
0.2500 0.6250 0.8750
0.1250 0.8750 0.7500
```

Results
ΔE_f ... 169 meV per atom
V ... 34.45 A^3/atom
SG ... No. 230



First-principles (PBE-GGA) data for a geometry-optimized YTh2ReN5 structure, as listed in the Alexandria database.

```
YTh2ReN5
1.0
-3.6449 3.9343 2.3855
-1.0219 -4.1584 5.2967
5.2401 2.8737 3.2671
N Th Re Y
10 4 2 2
Direct
0.2331 0.8561 0.3561
0.5000 0.5000 0.5000
0.2331 0.3561 0.1439
0.2331 0.1439 0.6439
0.7669 0.3561 0.1439
0.7669 0.6439 0.8561
0.2331 0.6439 0.8561
0.7669 0.1439 0.6439
0.7669 0.8561 0.3561
0.5000 0.0000 0.0000
0.5000 0.3269 0.8269
0.5000 0.1731 0.3269
0.5000 0.6731 0.1731
0.5000 0.8269 0.6731
0.0000 0.0000 0.5000
0.0000 0.5000 0.0000
0.0000 0.0000 0.0000
0.0000 0.5000 0.5000
```

Results
E_form (uncorrected) ... -0.982 eV per atom
V ... 15.13 A^3/atom
SG ... No. 127



First-principles (PBE-GGA) data for a geometry-optimized La6Pr3Ho structure, as listed in the Alexandria database.

```
La6Pr3Ho
1.0
-5.4210 -3.5167 1.6618
0.6148 -5.5711 -9.7844
5.2523 -3.7216 9.2581
Pr La Ho
6 12 2
Direct
0.4644 0.9429 0.7051
0.0789 0.3846 0.6154
0.5789 0.6154 0.3846
0.9644 0.0571 0.2949
0.4644 0.2949 0.0571
0.9644 0.7051 0.9429
0.3542 0.9688 0.0312
0.3700 0.0707 0.4855
0.0582 0.3665 0.2858
0.6603 0.2808 0.7192
0.3700 0.5145 0.9293
0.0582 0.7142 0.6335
0.8700 0.4855 0.0707
0.5582 0.6335 0.7142
0.8700 0.9293 0.5145
0.8542 0.0312 0.9688
0.5582 0.2858 0.3665
0.1603 0.7192 0.2808
0.6069 0.8128 0.1872
0.1069 0.1872 0.8128
```

Results
Offset from the most stable computed form ... 0.000 eV per formula unit
ΔE_f ... 110 meV per atom
V ... 36.13 A^3/atom
SG ... No. 36



First-principles (PBE-GGA) data for a geometry-optimized Ta2W2S7 structure, as listed in the Alexandria database.

```
Ta2W2S7
1.0
6.2437 0.3501 0.5052
-0.3808 6.4757 -0.0475
-0.3808 -2.3185 6.0466
S Ta W
7 2 2
Direct
0.2161 0.3933 0.3933
0.0000 0.0000 0.0000
0.3084 0.5900 0.9701
0.6916 0.0299 0.4100
0.6916 0.4100 0.0299
0.7839 0.6067 0.6067
0.3084 0.9701 0.5900
0.5000 0.6401 0.3599
0.5000 0.3599 0.6401
0.8458 0.2741 0.2741
0.1542 0.7259 0.7259
```

Results
E_form (uncorrected) ... -0.443 eV per atom
V ... 22.39 A^3/atom
SG ... No. 12



First-principles (PBE-GGA) data for a geometry-optimized NpSbH2 structure, as listed in the Alexandria database.

```
NpSbH2
1.0
-2.5134 1.1477 -2.3647
-3.1936 -1.7234 -0.2385
-3.8379 2.9023 2.6914
H Sb Np
2 1 1
Direct
0.1987 0.1987 0.4040
0.8013 0.8013 0.5960
0.0000 0.0000 0.0000
0.5000 0.5000 0.5000
```

Results
Offset from the most stable computed form ... 0.000 eV per formula unit
V ... 14.60 A^3/atom
SG ... No. 166



First-principles (PBE-GGA) data for a geometry-optimized Li2ZrPb structure, as listed in the Alexandria database.

```
Li2ZrPb
1.0
-2.8680 2.4941 -4.4480
-3.9517 -3.0814 -3.0198
1.6735 2.1618 5.1726
Zr Pb Li
1 1 2
Direct
0.2524 0.7524 0.5000
0.5230 0.5230 0.0000
0.9788 0.9788 0.0000
0.7459 0.2459 0.5000
```

Results
ΔE_f ... 48 meV per atom
V ... 20.11 A^3/atom
SG ... No. 44



First-principles (PBE-GGA) data for a geometry-optimized TcCl structure, as listed in the Alexandria database.

```
TcCl
1.0
-2.8297 2.6002 -6.8923
6.3893 -2.8084 -3.6826
-3.6664 -6.9010 -1.0982
Tc Cl
8 8
Direct
0.1101 0.8899 0.1101
0.8899 0.8899 0.8899
0.1101 0.1101 0.8899
0.3899 0.3899 0.3899
0.6101 0.6101 0.3899
0.8899 0.1101 0.1101
0.3899 0.6101 0.6101
0.6101 0.3899 0.6101
0.7904 0.7904 0.2096
0.2096 0.7904 0.7904
0.2904 0.2904 0.7096
0.2096 0.2096 0.2096
0.7096 0.2904 0.2904
0.7096 0.7096 0.7096
0.2904 0.7096 0.2904
0.7904 0.2096 0.7904
```

Results
Offset from the most stable computed form ... 1.312 eV per formula unit
E_form (uncorrected) ... 0.529 eV per atom
V ... 30.71 A^3/atom
SG ... No. 217



First-principles (PBE-GGA) data for a geometry-optimized Zr2ScSn structure, as listed in the Alexandria database.

```
Zr2ScSn
1.0
-1.2327 -3.0394 -2.7618
3.5099 0.7205 -2.3595
3.4116 -7.4615 6.6888
Sc Sn Zr
2 2 4
Direct
0.2500 0.3105 0.6209
0.7500 0.6895 0.3791
0.7500 0.8328 0.6655
0.2500 0.1672 0.3345
0.2500 0.5578 0.1157
0.7500 0.4422 0.8843
0.2500 0.9440 0.8879
0.7500 0.0560 0.1121
```

Results
ΔE_f ... -413 meV per atom
V ... 23.84 A^3/atom
SG ... No. 63



First-principles (PBE-GGA) data for a geometry-optimized HfH2I2Cl2 structure, as listed in the Alexandria database.

```
HfH2I2Cl2
1.0
-1.9067 1.4557 -3.3327
-7.5367 -0.5250 1.5528
-0.7814 7.3612 1.1327
I H Cl Hf
2 2 2 1
Direct
0.4530 0.8513 0.2428
0.5470 0.1487 0.7572
0.0357 0.4734 0.4553
0.9643 0.5266 0.5447
0.7769 0.2697 0.1765
0.2231 0.7303 0.8235
0.0000 0.0000 0.0000
```

Results
E_tot ... -4.286 eV/atom
V ... 31.41 A^3/atom
SG ... No. 12



First-principles (PBE-GGA) data for a geometry-optimized NaCaNb structure, as listed in the Alexandria database.

```
NaCaNb
1.0
-2.2207 -5.9689 0.8850
3.6292 0.9911 2.9358
-5.6157 -0.1916 3.1295
Nb Ca Na
2 2 2
Direct
0.4013 0.2212 0.8788
0.3036 0.6229 0.7808
0.3527 0.9221 0.3297
0.8525 0.9219 0.8295
0.7635 0.5827 0.2400
0.9417 0.2615 0.4195
```

Results
Offset from the most stable computed form ... 1.155 eV per formula unit
ΔE_f ... 573 meV per atom
V ... 27.06 A^3/atom
SG ... No. 74



What did the sixth record say?
First-principles (PBE-GGA) data for a geometry-optimized Ta2W2S7 structure, as listed in the Alexandria database.

```
Ta2W2S7
1.0
6.2437 0.3501 0.5052
-0.3808 6.4757 -0.0475
-0.3808 -2.3185 6.0466
S Ta W
7 2 2
Direct
0.2161 0.3933 0.3933
0.0000 0.0000 0.0000
0.3084 0.5900 0.9701
0.6916 0.0299 0.4100
0.6916 0.4100 0.0299
0.7839 0.6067 0.6067
0.3084 0.9701 0.5900
0.5000 0.6401 0.3599
0.5000 0.3599 0.6401
0.8458 0.2741 0.2741
0.1542 0.7259 0.7259
```

Results
E_form (uncorrected) ... -0.443 eV per atom
V ... 22.39 A^3/atom
SG ... No. 12